# 1
Here is a relaxed structure of NaBiSbI2 from Alexandria via LeMat-Bulk. Energies are from PBE-GGA.

As for the calculated total energy: -12.75 eV for the cell shown. The calculated volume is 47.80 Å³/atom. The value obtained for the energy relative to the elements, uncorrected is -6 kJ per mole of atoms. Its density of states at the Fermi level is 0.71 states/eV/atom.

The space group is P4/mmm (No. 123) and the conventional cell measures 6.3768, 6.3768 and 5.8778 Å, with angles of 90.00, 90.00 and 90.00 degrees. The inequivalent atoms are Na at (0.0000, 0.0000, 0.0000), Bi at (0.5000, 0.5000, 0.5000), Sb at (0.5000, 0.5000, 0.0000) and I at (0.0000, 0.5000, 0.5000).

***

# 2
Here is a relaxed structure of La8Ge3OsBr4 from Alexandria via LeMat-Bulk. Energies are from PBE-GGA.

As for the calculated total energy: -178.31 eV for the cell shown. The calculated volume is 30.96 Å³/atom. The value obtained for the energy relative to the elements, uncorrected is -108 kJ per mole of atoms. Its density of states at the Fermi level is 0.82 states/eV/atom.

The space group is C2/m (No. 12) and the conventional cell measures 15.2743, 8.7478 and 8.9938 Å, with angles of 90.00, 124.46 and 90.00 degrees. The inequivalent atoms are La at (0.0096, 0.2344, 0.2940), La at (0.2346, 0.0000, 0.7153), La at (0.2403, 0.5000, 0.7217), Ge at (0.0000, 0.5000, 0.5000), Ge at (0.2500, 0.2500, 0.5000), Os at (0.0000, 0.0000, 0.5000), Br at (0.0000, 0.0000, 0.0000), Br at (0.0000, 0.5000, 0.0000) and Br at (0.2500, 0.2500, 0.0000).

***

Q: What is the formula in the second record?
A: La8Ge3OsBr4

***

Please write out number 2 again, unchanged.
Here is a relaxed structure of La8Ge3OsBr4 from Alexandria via LeMat-Bulk. Energies are from PBE-GGA.

As for the calculated total energy: -178.31 eV for the cell shown. The calculated volume is 30.96 Å³/atom. The value obtained for the energy relative to the elements, uncorrected is -108 kJ per mole of atoms. Its density of states at the Fermi level is 0.82 states/eV/atom.

The space group is C2/m (No. 12) and the conventional cell measures 15.2743, 8.7478 and 8.9938 Å, with angles of 90.00, 124.46 and 90.00 degrees. The inequivalent atoms are La at (0.0096, 0.2344, 0.2940), La at (0.2346, 0.0000, 0.7153), La at (0.2403, 0.5000, 0.7217), Ge at (0.0000, 0.5000, 0.5000), Ge at (0.2500, 0.2500, 0.5000), Os at (0.0000, 0.0000, 0.5000), Br at (0.0000, 0.0000, 0.0000), Br at (0.0000, 0.5000, 0.0000) and Br at (0.2500, 0.2500, 0.0000).

***

Q: What is the formula in the first record?
A: NaBiSbI2

***

What did the first record say?
Here is a relaxed structure of NaBiSbI2 from Alexandria via LeMat-Bulk. Energies are from PBE-GGA.

As for the calculated total energy: -12.75 eV for the cell shown. The calculated volume is 47.80 Å³/atom. The value obtained for the energy relative to the elements, uncorrected is -6 kJ per mole of atoms. Its density of states at the Fermi level is 0.71 states/eV/atom.

The space group is P4/mmm (No. 123) and the conventional cell measures 6.3768, 6.3768 and 5.8778 Å, with angles of 90.00, 90.00 and 90.00 degrees. The inequivalent atoms are Na at (0.0000, 0.0000, 0.0000), Bi at (0.5000, 0.5000, 0.5000), Sb at (0.5000, 0.5000, 0.0000) and I at (0.0000, 0.5000, 0.5000).